Record 1
Compound: CrC2I
Source: Alexandria
Functional: PBE-GGA
Structure: optimized geometry

Output
E above lowest polymorph = 1167.8 meV per atom

abc: 4.0106 4.0106 4.0106
angles: 60.00 60.00 60.00
Last column: nearest neighbours and their distance in Å.
Sites, in units of the cell vectors:
I1 0.5000 0.5000 0.5000  8 C 2.46
Cr1 0.0000 0.0000 0.0000  8 C 2.46
C1 0.2500 0.2500 0.2500  4 Cr 2.46, 4 I 2.46
C2 0.7500 0.7500 0.7500  4 I 2.46, 4 Cr 2.46

=====

Record 2
Compound: CrC2I
Source: Alexandria
Functional: PBE-GGA
Structure: optimized geometry

Output
E above lowest polymorph = 0.0 meV per atom

abc: 5.3352 5.3352 5.9609
angles: 63.42 63.42 90.00
Last column: nearest neighbours and their distance in Å.
Sites, in units of the cell vectors:
I1 0.0000 0.0000 0.0000  4 C 2.74
I2 0.7500 0.2500 0.5000  4 C 2.74
Cr1 0.5000 0.5000 0.0000  4 C 1.85
Cr2 0.2500 0.7500 0.5000  4 C 1.85
C1 0.4809 0.1250 0.2500  2 Cr 1.85
C2 0.2691 0.6250 0.2500  2 Cr 1.85
C3 0.3750 0.5191 0.7500  2 Cr 1.85
C4 0.8750 0.7309 0.7500  2 Cr 1.85

=====

Record 3
Compound: CrC3I
Source: Alexandria
Functional: PBE-GGA
Structure: optimized geometry

Output
E above lowest polymorph = 1478.1 meV per atom

abc: 4.0678 4.0678 4.0678
angles: 90.00 90.00 90.00
Last column: nearest neighbours and their distance in Å.
Sites, in units of the cell vectors:
I1 0.0000 0.0000 0.0000  6 C 2.03
Cr1 0.5000 0.5000 0.5000  12 C 2.88
C1 0.0000 0.5000 0.0000  2 I 2.03
C2 0.0000 0.0000 0.5000  2 I 2.03
C3 0.5000 0.0000 0.0000  2 I 2.03

=====

Record 4
Compound: Cr3CI
Source: Alexandria
Functional: PBE-GGA
Structure: optimized geometry

Output
E above lowest polymorph = 0.0 meV per atom

abc: 4.0140 4.0140 4.0140
angles: 90.00 90.00 90.00
Last column: nearest neighbours and their distance in Å.
Sites, in units of the cell vectors:
I1 0.5000 0.5000 0.5000  12 Cr 2.84
Cr1 0.0000 0.5000 0.0000  2 C 2.01
Cr2 0.0000 0.0000 0.5000  2 C 2.01
Cr3 0.5000 0.0000 0.0000  2 C 2.01
C1 0.0000 0.0000 0.0000  6 Cr 2.01

=====

Record 5
Compound: CrC3I
Source: Alexandria
Functional: PBE-GGA
Structure: optimized geometry

Output
E above lowest polymorph = 0.0 meV per atom

abc: 4.0054 4.0054 4.0054
angles: 90.00 90.00 90.00
Last column: nearest neighbours and their distance in Å.
Sites, in units of the cell vectors:
I1 0.5000 0.5000 0.5000  12 C 2.83
Cr1 0.0000 0.0000 0.0000  6 C 2.00
C1 0.0000 0.5000 0.0000  2 Cr 2.00
C2 0.0000 0.0000 0.5000  2 Cr 2.00
C3 0.5000 0.0000 0.0000  2 Cr 2.00

=====

Record 6
Compound: CrIrC2I
Source: Alexandria
Functional: PBE-GGA
Structure: optimized geometry

abc: 4.0984 5.0179 4.0984
angles: 90.00 90.00 90.00
Last column: nearest neighbours and their distance in Å.
Sites, in units of the cell vectors:
I1 0.0000 0.0000 0.0000  4 C 2.05
Cr1 0.5000 0.5000 0.5000  4 Ir 2.90, 8 C 3.24
C1 0.0000 0.0000 0.5000  2 I 2.05
C2 0.5000 0.0000 0.0000  2 I 2.05
Ir1 0.0000 0.5000 0.0000  2 I 2.51

=====

Record 7
Compound: CrMoCI2
Source: Alexandria
Functional: PBE-GGA
Structure: optimized geometry

abc: 5.3750 4.6895 5.3750
angles: 90.00 90.00 90.00
Last column: nearest neighbours and their distance in Å.
Sites, in units of the cell vectors:
I1 0.0000 0.0000 0.5000  2 Cr 2.69
I2 0.5000 0.0000 0.0000  2 Cr 2.69
Cr1 0.0000 0.0000 0.0000  2 Mo 2.34
Mo1 0.0000 0.5000 0.0000  2 Cr 2.34
C1 0.5000 0.5000 0.5000  8 I 3.57, 4 Mo 3.80

=====

For each record above, in turn, the calculated energy relative to the elements, uncorrected values are 2.653; 1.485; 3.685; 0.657; 2.207; 3.392; 2.178 eV per atom.